Record 1
Compound: GdTmNi4
Source: OQMD
Functional: PBE
Structure: relaxed

```
GdTmNi4
1.0
-0.979 2.743 4.489
-3.545 0.074 -4.007
-3.654 -6.400 3.115
Gd Ni Tm
2 8 2
Direct
0.000 0.000 0.000 Gd
0.000 0.000 0.500 Gd
0.667 0.333 0.000 Ni
0.333 0.667 0.000 Ni
0.500 0.000 0.230 Ni
0.000 0.500 0.230 Ni
0.500 0.500 0.230 Ni
0.500 0.000 0.770 Ni
0.000 0.500 0.770 Ni
0.500 0.500 0.770 Ni
0.667 0.333 0.500 Tm
0.333 0.667 0.500 Tm
```

The calculation puts the formation energy from the elements at -0.073 eV/atom. The total magnetization is 0.0 μB per formula unit. Its excess energy over the best structure of this formula in the dataset is 384 meV/atom. The volume comes out at 198 Å³ per cell.

Record 2
Compound: GdNiW
Source: OQMD
Functional: PBE
Structure: relaxed

```
GdNiW
1.0
0.000 3.110 3.110
3.110 0.000 3.110
3.110 3.110 0.000
Gd Ni W
1 1 1
Direct
0.250 0.250 0.250 Gd
0.000 0.000 0.000 Ni
0.750 0.750 0.750 W
```

The calculation puts the formation energy from the elements at 0.698 eV/atom. The total magnetization is 0.1 μB per formula unit. The volume comes out at 60 Å³ per cell.

Record 3
Compound: Gd6NiW
Source: OQMD
Functional: PBE
Structure: relaxed

```
Gd6NiW
1.0
0.916 4.360 3.985
5.211 -2.817 0.800
1.596 3.107 -4.851
Gd Ni W
6 1 1
Direct
0.757 0.589 0.039 Gd
0.411 0.961 0.243 Gd
0.961 0.243 0.411 Gd
0.039 0.757 0.589 Gd
0.589 0.039 0.757 Gd
0.243 0.411 0.961 Gd
0.000 0.000 0.000 Ni
0.500 0.500 0.500 W
```

The calculation puts the formation energy from the elements at 0.228 eV/atom. The total magnetization is 0.0 μB per formula unit. The volume comes out at 208 Å³ per cell.

Record 4
Compound: GdY2Ni9
Source: OQMD
Functional: PBE
Structure: relaxed

```
GdY2Ni9
1.0
5.952 5.328 3.227
8.023 3.066 -0.675
4.961 6.909 -1.371
Gd Ni Y
1 9 2
Direct
0.000 0.000 0.000 Gd
0.582 0.582 0.081 Ni
0.333 0.333 0.333 Ni
0.919 0.418 0.418 Ni
0.418 0.919 0.418 Ni
0.500 0.500 0.500 Ni
0.582 0.081 0.582 Ni
0.081 0.582 0.582 Ni
0.667 0.667 0.667 Ni
0.418 0.418 0.919 Ni
0.139 0.139 0.139 Y
0.861 0.861 0.861 Y
```

The calculation puts the formation energy from the elements at -0.399 eV/atom. The total magnetization is 0.6 μB per formula unit. The volume comes out at 173 Å³ per cell.

Record 5
Compound: Gd2YNi9
Source: OQMD
Functional: PBE
Structure: relaxed

```
Gd2YNi9
1.0
-2.238 -7.836 -2.804
-0.093 -8.463 1.627
-4.830 -7.009 1.346
Gd Ni Y
2 9 1
Direct
0.139 0.139 0.139 Gd
0.861 0.861 0.861 Gd
0.582 0.582 0.081 Ni
0.333 0.333 0.333 Ni
0.919 0.418 0.418 Ni
0.418 0.919 0.418 Ni
0.500 0.500 0.500 Ni
0.582 0.081 0.582 Ni
0.081 0.582 0.582 Ni
0.667 0.667 0.667 Ni
0.418 0.418 0.919 Ni
0.000 0.000 0.000 Y
```

The calculation puts the formation energy from the elements at -0.394 eV/atom. The total magnetization is 0.6 μB per formula unit. The volume comes out at 173 Å³ per cell.

Record 6
Compound: GdYNi
Source: OQMD
Functional: PBE
Structure: relaxed

```
GdYNi
1.0
0.000 3.366 3.366
3.366 0.000 3.366
3.366 3.366 0.000
Gd Ni Y
1 1 1
Direct
0.250 0.250 0.250 Gd
0.000 0.000 0.000 Ni
0.750 0.750 0.750 Y
```

The calculation puts the formation energy from the elements at -0.129 eV/atom. The total magnetization is 0.0 μB per formula unit. Its excess energy over the best structure of this formula in the dataset is 0 meV/atom. The volume comes out at 76 Å³ per cell.

- Among the records above, which one has the lowest formation energy from the elements?
  GdY2Ni9

What did the sixth record say?
Compound: GdYNi
Source: OQMD
Functional: PBE
Structure: relaxed

```
GdYNi
1.0
0.000 3.366 3.366
3.366 0.000 3.366
3.366 3.366 0.000
Gd Ni Y
1 1 1
Direct
0.250 0.250 0.250 Gd
0.000 0.000 0.000 Ni
0.750 0.750 0.750 Y
```

The calculation puts the formation energy from the elements at -0.129 eV/atom. The total magnetization is 0.0 μB per formula unit. Its excess energy over the best structure of this formula in the dataset is 0 meV/atom. The volume comes out at 76 Å³ per cell.

- Which value of formation energy from the elements does entry 2 give?
  0.698 eV/atom

- The highest formation energy from the elements belongs to which entry?
  GdNiW